Computed, not measured: an optimized crystal structure of SmH8Ir2Pt at the GGA-PBE level of DFT.

```
12
Lattice="-1.582 -3.080 2.149 -1.927 -3.684 -2.834 3.654 -5.309 -1.055" Properties=species:S:1:pos:R:3 pbc="T T T"
Sm 0.072 -6.036 -0.870
H -0.791 -8.291 -0.873
H -1.476 -4.580 0.077
H 0.935 -3.782 -0.867
H 1.620 -7.492 -1.817
H -0.140 -3.262 1.056
H 0.284 -8.811 -2.797
H 0.667 -1.691 -0.040
H -0.523 -10.381 -1.701
Ir -0.408 -2.879 -0.562
Ir 0.552 -9.194 -1.178
Pt 0.000 0.000 0.000
```

Results
V in Å³/cell: 106.7
Total magnetization in μB/cell: 0.0
N(E_F) in states/eV per atom: 0.20
Final energy in eV/atom: -4.7528
Symmetry: C2/m
Crystal system: monoclinic



Computed, not measured: an optimized crystal structure of SnH6Ir2Pt at the GGA-PBE level of DFT.

```
20
Lattice="-3.883 -0.846 3.849 -1.160 -4.272 -3.319 6.882 -1.093 3.137" Properties=species:S:1:pos:R:3 pbc="T T T"
Sn 0.167 -4.050 -1.499
Sn 1.672 -2.161 5.166
H -2.750 -1.959 2.319
H -0.196 -2.015 3.316
H 4.589 -4.252 1.348
H 2.035 -4.196 0.351
H -0.351 -1.312 0.139
H -1.054 -4.599 1.443
H 2.191 -4.899 3.528
H 2.893 -1.612 2.224
H 0.441 -3.039 0.991
H -1.694 -3.064 0.191
H 1.398 -3.172 2.676
H 3.534 -3.148 3.476
Ir 3.868 -1.502 3.524
Ir 0.673 -4.325 3.659
Ir -2.028 -4.709 0.144
Ir 1.167 -1.886 0.008
Pt -1.072 -2.491 1.764
Pt 2.911 -3.720 1.904
```

Results
V in Å³/cell: 200.4
Total magnetization in μB/cell: 0.0
N(E_F) in states/eV per atom: 0.24
Final energy in eV/atom: -4.6454
Symmetry: C2/c
Crystal system: monoclinic